Entry from Alexandria via LeMat-Bulk: a relaxed structure of CrCoP2O (PBE with a Hubbard U).

The structure in POSCAR format:
```
CrCoP2O
1.0
4.6159 0.0000 0.0000
0.0000 4.6159 0.0000
0.0000 0.0000 3.3660
Cr Co P O
1 1 2 1
Cartesian
0.0000 0.0000 0.0000 Cr
2.3080 2.3080 1.6830 Co
0.0000 2.3080 1.6830 P
2.3080 0.0000 1.6830 P
2.3080 2.3080 0.0000 O
```

- N(E_F) (states/eV/atom) = 0.247
- final energy (eV/cell) = -25.20
- crystal system = tetragonal